Record 1
DFT (PBE-GGA) results for a relaxed Ba2ZnOsSe6 crystal.

abc: 7.177 7.177 7.177
angles: 120.02 120.02 89.96
Positions (direct):
Ba: 0.750 0.250 0.500
Ba: 0.250 0.750 0.500
Os: 0.000 0.000 0.000
Se: 0.753 0.247 0.000
Se: 0.247 0.247 0.000
Se: 0.753 0.753 0.000
Se: 0.247 0.753 0.000
Se: 0.247 0.247 0.494
Se: 0.753 0.753 0.506
Zn: 0.500 0.500 0.000

symmetry = Fm-3m (225)
crystal system = cubic
DFT total energy = -44.15 eV per cell
magnetic moment = 0.16 μB/f.u.


Record 2
DFT (PBE-GGA) results for a relaxed Nd2ErMg3CdGa2 crystal.

abc: 4.546 7.428 7.428
angles: 119.15 90.00 90.00
Positions (direct):
Cd: 0.000 0.991 0.991
Er: 0.000 0.571 0.571
Ga: 0.500 0.666 0.340
Ga: 0.500 0.340 0.666
Mg: 0.500 0.248 0.248
Mg: 0.500 0.999 0.751
Mg: 0.500 0.751 0.999
Nd: 0.000 0.431 0.003
Nd: 0.000 0.003 0.431

symmetry = Amm2 (38)
crystal system = orthorhombic
DFT total energy = -29.59 eV per cell
magnetic moment = 0.00 μB/f.u.


Record 3
DFT (PBE-GGA) results for a relaxed Dy3Ho2Al3 crystal.

abc: 6.837 6.837 5.139
angles: 90.00 90.00 120.00
Positions (direct):
Al: 0.377 0.188 0.500
Al: 0.812 0.188 0.500
Al: 0.812 0.623 0.500
Dy: 0.508 0.015 0.000
Dy: 0.508 0.492 0.000
Dy: 0.985 0.492 0.000
Ho: 0.000 0.000 0.000
Ho: 0.333 0.667 0.500

symmetry = P-6m2 (187)
crystal system = hexagonal
DFT total energy = -35.10 eV per cell
magnetic moment = 0.06 μB/f.u.


Record 4
DFT (PBE-GGA) results for a relaxed LiHfGaPd crystal.

abc: 4.452 4.452 4.452
angles: 60.00 60.00 60.00
Positions (direct):
Ga: 0.250 0.250 0.250
Hf: 0.000 0.000 0.000
Li: 0.750 0.750 0.750
Pd: 0.500 0.500 0.500

symmetry = F-43m (216)
crystal system = cubic
DFT total energy = -21.68 eV per cell
magnetic moment = 0.00 μB/f.u.